A relaxed structure of BaVSe2Br. Source: the Alexandria database, functional GGA-PBE.

Structure (CIF):
```
data_BaVSe2Br
_space_group_name_H-M_alt 'P 4/m m m'
_space_group_IT_number 123
_space_group_name_Hall '-P 4 2'
_cell_length_a 6.1535
_cell_length_b 6.1535
_cell_length_c 6.0319
_cell_angle_alpha 90.00
_cell_angle_beta 90.00
_cell_angle_gamma 90.00
loop_
_atom_site_label
_atom_site_fract_x
_atom_site_fract_y
_atom_site_fract_z
Ba1 0.0000 0.0000 0.0000
V1 0.5000 0.5000 0.5000
Se1 0.0000 0.5000 0.0000
Br1 0.0000 0.0000 0.5000
```

Output
M_tot = 2.0 μB/cell
V = 228.4 Å³/cell
theoretical density = 3098 kg/m³
energy relative to the lowest polymorph listed for this composition = 1481.6 meV/atom
total DFT energy (no corrections) = -18.11 eV per cell